#A
Entry from the Alexandria database: SmEr2Be after structural relaxation (PBE-GGA).

Summary:
Mass density   7049 kg/m³
Magnetic moment   0.00 μB/cell

Unit cell a=11.5267 b=11.5267 c=11.5267 alpha=17.16 beta=17.16 gamma=17.16
Atoms (fractional coordinates):
Sm 0.0000 0.0000 0.0000
Er 0.4163 0.4163 0.4163
Er 0.5837 0.5837 0.5837
Be 0.5000 0.5000 0.5000



#B
Entry from the Alexandria database: SmEr2Be after structural relaxation (PBE-GGA).

Summary:
Mass density   8009 kg/m³
Magnetic moment   0.00 μB/cell

Unit cell a=3.4379 b=3.4379 c=8.6643 alpha=90.00 beta=90.00 gamma=90.00
Atoms (fractional coordinates):
Sm 0.0000 0.0000 0.0000
Er 0.5000 0.5000 0.3102
Er 0.5000 0.5000 0.6898
Be 0.0000 0.0000 0.5000



Need the numbers? Relative energies in eV/atom: #A 0.637; #B 0.000.



#A
Entry from the Alexandria database: Tb2ErBe after structural relaxation (PBE-GGA).

Summary:
Mass density   7979 kg/m³
Magnetic moment   0.00 μB/cell

Unit cell a=3.4799 b=3.4799 c=8.4919 alpha=90.00 beta=90.00 gamma=90.00
Atoms (fractional coordinates):
Tb 0.0000 0.0000 0.1952
Tb 0.0000 0.0000 0.8048
Er 0.5000 0.5000 0.5000
Be 0.5000 0.5000 0.0000



#B
Entry from the Alexandria database: Tb2ErBe after structural relaxation (PBE-GGA).

Summary:
Mass density   7129 kg/m³
Magnetic moment   0.00 μB/cell

Unit cell a=11.5642 b=11.5642 c=11.5642 alpha=16.98 beta=16.98 gamma=16.98
Atoms (fractional coordinates):
Tb 0.0846 0.0846 0.0846
Tb 0.9154 0.9154 0.9154
Er 0.5000 0.5000 0.5000
Be 0.0000 0.0000 0.0000



Need the numbers? Relative energies in eV/atom: #A 0.000; #B 0.599.



#A
Entry from the Alexandria database: ErThBe after structural relaxation (PBE-GGA).

Summary:
Mass density   9346 kg/m³
Magnetic moment   0.00 μB/cell

Unit cell a=6.6592 b=6.6592 c=6.6592 alpha=150.25 beta=150.25 gamma=42.58
Atoms (fractional coordinates):
Er 0.0000 0.0000 0.0000
Th 0.2821 0.2821 0.0000
Be 0.6347 0.6347 0.0000



#B
Entry from the Alexandria database: ErThBe after structural relaxation (PBE-GGA).

Summary:
Mass density   9498 kg/m³
Magnetic moment   0.00 μB/cell

Unit cell a=7.2878 b=5.8857 c=5.7391 alpha=77.64 beta=52.08 gamma=50.28
Atoms (fractional coordinates):
Er 0.1590 0.1590 0.8410
Er 0.8410 0.8410 0.1590
Th 0.3366 0.6634 0.3366
Th 0.6634 0.3366 0.6634
Be 0.2500 0.2500 0.2500
Be 0.7500 0.7500 0.7500



Need the numbers? Relative energies in eV/atom: #A 0.011; #B 0.000.



#A
Entry from the Alexandria database: Er2TmBe after structural relaxation (PBE-GGA).

Summary:
Mass density   8571 kg/m³
Magnetic moment   0.00 μB/cell

Unit cell a=3.4285 b=3.4285 c=8.4461 alpha=90.00 beta=90.00 gamma=90.00
Atoms (fractional coordinates):
Er 0.0000 0.0000 0.1944
Er 0.0000 0.0000 0.8056
Tm 0.5000 0.5000 0.5000
Be 0.5000 0.5000 0.0000



#B
Entry from the Alexandria database: Er2TmBe after structural relaxation (PBE-GGA).

Summary:
Mass density   7636 kg/m³
Magnetic moment   0.00 μB/cell

Unit cell a=11.4373 b=11.4373 c=11.4373 alpha=16.99 beta=16.99 gamma=16.99
Atoms (fractional coordinates):
Er 0.0847 0.0847 0.0847
Er 0.9153 0.9153 0.9153
Tm 0.5000 0.5000 0.5000
Be 0.0000 0.0000 0.0000



Need the numbers? Relative energies in eV/atom: #A 0.000; #B 0.611.